# 1
First-principles (GGA-PBE) data for a geometry-optimized Ca2YCuRe structure, as listed in the Alexandria database.

Calculated values
Final energy (eV per atom): -4.67
Magnetization (μB/f.u.): 1.1
Energy relative to the elements (eV/atom): 0.73

a b c (Å): 5.185 5.185 4.895
angles (deg): 90.00 90.00 90.00
Space group P4/mmm (No. 123)
Asymmetric unit:
Ca 0.000 0.500 0.000 x2
Y 0.000 0.000 0.500 x1
Cu 0.500 0.500 0.000 x1
Re 0.500 0.500 0.500 x1

***

# 2
First-principles (GGA-PBE) data for a geometry-optimized Ba2PbF5 structure, as listed in the Alexandria database.

Calculated values
Final energy (eV per atom): -5.16
Magnetization (μB/f.u.): 1.0
Formation energy from raw total energies (eV/atom): -3.043

a b c (Å): 4.737 6.943 7.383
angles (deg): 103.41 108.57 109.81
Space group P1 (No. 1)
Asymmetric unit:
Ba 0.000 0.000 0.000 x1
Ba 0.002 0.430 0.573 x1
Pb 0.497 0.715 0.282 x1
F 0.014 0.774 0.256 x1
F 0.342 0.741 0.944 x1
F 0.630 0.622 0.638 x1
F 0.690 0.197 0.182 x1
F 0.937 0.146 0.720 x1

***

# 3
First-principles (GGA-PBE) data for a geometry-optimized Pm7PrEr12 structure, as listed in the Alexandria database.

Calculated values
Final energy (eV per atom): -3.99
Magnetization (μB/f.u.): 0.0
Energy relative to the elements (eV/atom): 0.65

a b c (Å): 11.246 11.246 11.246
angles (deg): 90.00 90.00 90.00
Space group Im-3m (No. 229)
Asymmetric unit:
Pm 0.000 0.000 0.500 x6
Pm 0.250 0.250 0.250 x8
Pr 0.000 0.000 0.000 x2
Er 0.000 0.251 0.251 x24

***

# 4
First-principles (GGA-PBE) data for a geometry-optimized ZnCu5Au structure, as listed in the Alexandria database.

Calculated values
Final energy (eV per atom): -3.52
Magnetization (μB/f.u.): 0.0
Energy relative to the elements (eV/atom): 0.06

a b c (Å): 8.428 4.759 9.634
angles (deg): 90.00 92.99 90.00
Space group C2/c (No. 15)
Asymmetric unit:
Zn 0.000 0.236 0.250 x4
Cu 0.000 0.257 0.750 x4
Cu 0.172 0.010 0.561 x8
Cu 0.245 0.488 0.183 x8
Au 0.000 0.500 0.000 x4

***

# 5
First-principles (GGA-PBE) data for a geometry-optimized CePaCuO6 structure, as listed in the Alexandria database.

Calculated values
Final energy (eV per atom): -7.95
Magnetization (μB/f.u.): 0.0
Formation energy from raw total energies (eV/atom): -2.479

a b c (Å): 5.220 5.220 9.700
angles (deg): 90.00 90.00 90.00
Space group P4_2nm (No. 102)
Asymmetric unit:
Ce 0.000 0.000 0.000 x2
Pa 0.000 0.000 0.654 x2
Cu 0.000 0.000 0.326 x2
O 0.175 0.175 0.475 x4
O 0.177 0.177 0.820 x4
O 0.182 0.182 0.180 x4

***

- Look up the final energy of the second one.
  -5.16 eV per atom

***

- Which value of magnetization does entry 1 give?
  1.1 μB/f.u.